Run one
Entry from Alexandria: a relaxed structure of YCoNi (PBEsol).

Results
Space-group type   No. 74
Density   7.84 g/cm3
Calculated volume   87 Å³/cell

a = 4.880 Å, b = 5.005 Å, c = 5.002 Å
α = 119.98°, β = 90.00°, γ = 119.18°
Last column: magnetic moment on the atom in μB.
Sites, in units of the cell vectors:
1 Y 0.123 0.245 0.373  -0.13
2 Y 0.877 0.755 0.627  -0.13
3 Ni 0.500 0.000 0.500  0.85
4 Ni 0.500 0.000 0.000  0.85
5 Co 0.000 0.500 0.000  0.15
6 Co 0.500 0.500 0.000  0.15

Run two
Entry from Alexandria: a relaxed structure of YCoNi (PBEsol).

Results
Space-group type   No. 187
Density   7.01 g/cm3
Calculated volume   49 Å³/cell

a = 3.787 Å, b = 3.864 Å, c = 3.864 Å
α = 120.00°, β = 90.00°, γ = 90.00°
Last column: magnetic moment on the atom in μB.
Sites, in units of the cell vectors:
1 Y 0.500 0.333 0.667  -0.04
2 Ni 0.000 0.667 0.333  0.06
3 Co 0.000 0.000 0.000  0.19

Quick look at relative energies in eV/atom: run one 0.000; run two 0.072.

Run one
Entry from Alexandria: a relaxed structure of YCoNi2 (PBEsol).

Results
Space-group type   No. 139
Density   7.98 g/cm3
Calculated volume   55 Å³/cell

a = 3.832 Å, b = 3.832 Å, c = 4.633 Å
α = 114.43°, β = 114.43°, γ = 90.00°
Last column: magnetic moment on the atom in μB.
Sites, in units of the cell vectors:
1 Co 0.500 0.500 0.000  1.29
2 Ni 0.750 0.250 0.500  0.34
3 Ni 0.250 0.750 0.500  0.34
4 Y 0.000 0.000 0.000  -0.14

Run two
Entry from Alexandria: a relaxed structure of YCoNi2 (PBEsol).

Results
Space-group type   No. 119
Density   7.99 g/cm3
Calculated volume   55 Å³/cell

a = 3.825 Å, b = 3.825 Å, c = 4.637 Å
α = 114.36°, β = 114.36°, γ = 90.00°
Last column: magnetic moment on the atom in μB.
Sites, in units of the cell vectors:
1 Co 0.250 0.750 0.500  1.23
2 Ni 0.000 0.000 0.000  0.40
3 Ni 0.750 0.250 0.500  0.28
4 Y 0.500 0.500 0.000  -0.07

Quick look at relative energies in eV/atom: run one 0.000; run two 0.024.

Run one
Entry from Alexandria: a relaxed structure of ZnCoNi (PBEsol).

Results
Space-group type   No. 107
Density   9.09 g/cm3
Calculated volume   33 Å³/cell

a = 2.521 Å, b = 2.521 Å, c = 5.551 Å
α = 103.13°, β = 103.13°, γ = 90.00°
Last column: magnetic moment on the atom in μB.
Sites, in units of the cell vectors:
1 Ni 0.340 0.340 0.679  0.41
2 Zn 0.667 0.667 0.335  -0.04
3 Co 0.993 0.993 0.986  1.39

Run two
Entry from Alexandria: a relaxed structure of ZnCoNi (PBEsol).

Results
Space-group type   No. 156
Density   9.08 g/cm3
Calculated volume   33 Å³/cell

a = 2.522 Å, b = 2.522 Å, c = 6.078 Å
α = 90.00°, β = 90.00°, γ = 120.00°
Last column: magnetic moment on the atom in μB.
Sites, in units of the cell vectors:
1 Ni 0.333 0.667 0.675  0.37
2 Zn 0.667 0.333 0.335  -0.04
3 Co 0.000 0.000 0.991  1.40

Quick look at relative energies in eV/atom: run one 0.000; run two 0.054.

Run one
Entry from Alexandria: a relaxed structure of Zr2CoNi (PBEsol).

Results
Space-group type   No. 123
Density   7.97 g/cm3
Calculated volume   63 Å³/cell

a = 3.140 Å, b = 3.138 Å, c = 6.344 Å
α = 89.99°, β = 90.00°, γ = 90.00°
Sites, in units of the cell vectors:
1 Ni 0.500 0.500 0.500
2 Co 0.500 0.500 0.000
3 Zr 0.000 0.000 0.247
4 Zr 0.000 0.000 0.753

Run two
Entry from Alexandria: a relaxed structure of Zr2CoNi (PBEsol).

Results
Space-group type   No. 8
Density   7.86 g/cm3
Calculated volume   127 Å³/cell

a = 5.114 Å, b = 5.169 Å, c = 5.169 Å
α = 102.18°, β = 101.35°, γ = 101.35°
Sites, in units of the cell vectors:
1 Ni 0.356 0.969 0.969
2 Ni 0.359 0.432 0.432
3 Co 0.019 0.618 0.114
4 Co 0.019 0.114 0.618
5 Zr 0.473 0.490 0.969
6 Zr 0.917 0.588 0.588
7 Zr 0.473 0.969 0.490
8 Zr 0.908 0.092 0.092

Quick look at relative energies in eV/atom: run one 0.096; run two 0.000.

Run one
Entry from Alexandria: a relaxed structure of Zr2CoNi (PBEsol).

Results
Space-group type   No. 99
Density   7.80 g/cm3
Calculated volume   64 Å³/cell

a = 3.307 Å, b = 3.307 Å, c = 5.844 Å
α = 90.00°, β = 90.00°, γ = 90.00°
Sites, in units of the cell vectors:
1 Co 0.000 0.000 0.496
2 Ni 0.500 0.500 0.753
3 Zr 0.000 0.000 0.946
4 Zr 0.500 0.500 0.305

Run two
Entry from Alexandria: a relaxed structure of Zr2CoNi (PBEsol).

Results
Space-group type   No. 38
Density   7.85 g/cm3
Calculated volume   63 Å³/cell

a = 3.243 Å, b = 4.032 Å, c = 5.115 Å
α = 90.00°, β = 108.48°, γ = 90.00°
Sites, in units of the cell vectors:
1 Ni 0.583 0.500 0.166
2 Co 0.414 0.000 0.829
3 Zr 0.141 0.000 0.283
4 Zr 0.861 0.500 0.722

Run three
Entry from Alexandria: a relaxed structure of Zr2CoNi (PBEsol).

Results
Space-group type   No. 225
Density   7.96 g/cm3
Calculated volume   63 Å³/cell

a = 4.456 Å, b = 4.456 Å, c = 4.456 Å
α = 60.00°, β = 60.00°, γ = 60.00°
Sites, in units of the cell vectors:
1 Ni 0.500 0.500 0.500
2 Co 0.000 0.000 0.000
3 Zr 0.250 0.250 0.250
4 Zr 0.750 0.750 0.750

Quick look at relative energies in eV/atom: run one 0.288; run two 0.000; run three 0.093.

Run one
Entry from Alexandria: a relaxed structure of CoP2O7 (PBEsol).

Results
Space-group type   No. 5
Density   3.79 g/cm3
Calculated volume   102 Å³/cell

a = 4.355 Å, b = 4.945 Å, c = 4.945 Å
α = 100.19°, β = 98.50°, γ = 98.50°
Last column: magnetic moment on the atom in μB.
Sites, in units of the cell vectors:
1 P 0.091 0.385 0.203  0.00
2 P 0.909 0.797 0.615  0.00
3 Co 0.500 0.946 0.054  0.65
4 O 0.000 0.502 0.498  0.01
5 O 0.779 0.242 0.002  0.04
6 O 0.221 0.998 0.758  0.04
7 O 0.227 0.625 0.080  0.05
8 O 0.679 0.716 0.807  0.06
9 O 0.773 0.920 0.375  0.05
10 O 0.321 0.193 0.284  0.06

Run two
Entry from Alexandria: a relaxed structure of CoP2O7 (PBEsol).

Results
Space-group type   No. 14
Density   3.54 g/cm3
Calculated volume   437 Å³/cell

a = 6.701 Å, b = 7.617 Å, c = 9.053 Å
α = 90.00°, β = 108.90°, γ = 90.00°
Last column: magnetic moment on the atom in μB.
Sites, in units of the cell vectors:
1 Co 0.722 0.224 0.008  0.67
2 Co 0.722 0.276 0.508  0.67
3 Co 0.278 0.724 0.492  0.67
4 Co 0.278 0.776 0.992  0.67
5 P 0.067 0.536 0.704  0.00
6 P 0.531 0.904 0.794  0.00
7 P 0.933 0.036 0.796  0.00
8 P 0.469 0.404 0.706  0.00
9 P 0.469 0.096 0.206  0.00
10 P 0.531 0.596 0.294  0.00
11 P 0.933 0.464 0.296  0.00
12 P 0.067 0.964 0.204  0.00
13 O 0.478 0.748 0.388  0.07
14 O 0.099 0.606 0.868  0.02
15 O 0.478 0.752 0.888  0.07
16 O 0.522 0.252 0.612  0.07
17 O 0.229 0.380 0.703  0.01
18 O 0.771 0.880 0.797  0.01
19 O 0.901 0.394 0.132  0.02
20 O 0.847 0.048 0.150  0.03
21 O 0.084 0.684 0.593  0.06
22 O 0.153 0.952 0.850  0.03
23 O 0.153 0.548 0.350  0.03
24 O 0.084 0.816 0.093  0.06
25 O 0.524 0.417 0.370  0.05
26 O 0.771 0.620 0.297  0.01
27 O 0.916 0.184 0.907  0.06
28 O 0.392 0.911 0.623  0.04
29 O 0.476 0.917 0.130  0.05
30 O 0.524 0.083 0.870  0.05
31 O 0.916 0.316 0.407  0.06
32 O 0.476 0.583 0.630  0.05
33 O 0.608 0.411 0.877  0.04
34 O 0.099 0.894 0.368  0.02
35 O 0.392 0.589 0.123  0.04
36 O 0.847 0.452 0.650  0.03
37 O 0.608 0.089 0.377  0.04
38 O 0.901 0.106 0.632  0.02
39 O 0.229 0.120 0.203  0.01
40 O 0.522 0.248 0.112  0.07

Quick look at relative energies in eV/atom: run one 0.018; run two 0.000.

Run one
Entry from Alexandria: a relaxed structure of CoP2PdO (PBEsol).

Results
Space-group type   No. 123
Density   5.07 g/cm3
Calculated volume   80 Å³/cell

a = 3.665 Å, b = 4.663 Å, c = 4.663 Å
α = 90.00°, β = 90.00°, γ = 90.00°
Last column: magnetic moment on the atom in μB.
Sites, in units of the cell vectors:
1 P 0.000 0.000 0.500  -0.02
2 P 0.000 0.500 0.000  -0.02
3 Co 0.500 0.500 0.500  1.87
4 O 0.500 0.000 0.000  0.39
5 Pd 0.000 0.000 0.000  0.15

Run two
Entry from Alexandria: a relaxed structure of CoP2PdO (PBEsol).

Results
Space-group type   No. 123
Density   5.99 g/cm3
Calculated volume   67 Å³/cell

a = 3.288 Å, b = 4.530 Å, c = 4.530 Å
α = 90.00°, β = 90.00°, γ = 90.00°
Sites, in units of the cell vectors:
1 P 0.000 0.000 0.500
2 P 0.000 0.500 0.000
3 Co 0.000 0.000 0.000
4 O 0.500 0.000 0.000
5 Pd 0.500 0.500 0.500

Quick look at relative energies in eV/atom: run one 0.875; run two 0.000.

Run one
Entry from Alexandria: a relaxed structure of TaCoP2O (PBEsol).

Results
Space-group type   No. 123
Density   5.92 g/cm3
Calculated volume   89 Å³/cell

a = 3.774 Å, b = 4.861 Å, c = 4.861 Å
α = 90.00°, β = 90.00°, γ = 90.00°
Last column: magnetic moment on the atom in μB.
Sites, in units of the cell vectors:
1 P 0.000 0.000 0.500  -0.02
2 P 0.000 0.500 0.000  -0.02
3 Co 0.500 0.500 0.500  2.16
4 O 0.500 0.000 0.000  0.02
5 Ta 0.000 0.000 0.000  0.08

Run two
Entry from Alexandria: a relaxed structure of TaCoP2O (PBEsol).

Results
Space-group type   No. 123
Density   7.76 g/cm3
Calculated volume   68 Å³/cell

a = 3.311 Å, b = 4.533 Å, c = 4.533 Å
α = 90.00°, β = 90.00°, γ = 90.00°
Sites, in units of the cell vectors:
1 P 0.000 0.000 0.500
2 P 0.000 0.500 0.000
3 Co 0.000 0.000 0.000
4 O 0.500 0.000 0.000
5 Ta 0.500 0.500 0.500

Quick look at relative energies in eV/atom: run one 0.066; run two 0.000.

Run one
Entry from Alexandria: a relaxed structure of ZnCoP2O7 (PBEsol).

Results
Space-group type   No. 2
Density   4.15 g/cm3
Calculated volume   239 Å³/cell

a = 6.116 Å, b = 6.356 Å, c = 6.824 Å
α = 67.85°, β = 76.93°, γ = 81.09°
Last column: magnetic moment on the atom in μB.
Sites, in units of the cell vectors:
1 P 0.142 0.215 0.761  0.01
2 P 0.858 0.785 0.239  0.01
3 P 0.584 0.638 0.685  0.01
4 P 0.416 0.362 0.315  0.01
5 Zn 0.949 0.277 0.215  0.00
6 Zn 0.051 0.723 0.785  0.00
7 Co 0.357 0.921 0.183  2.59
8 Co 0.643 0.079 0.817  2.59
9 O 0.740 0.618 0.462  0.01
10 O 0.260 0.382 0.538  0.01
11 O 0.978 0.082 0.720  0.05
12 O 0.022 0.918 0.280  0.05
13 O 0.640 0.238 0.378  0.02
14 O 0.360 0.762 0.622  0.02
15 O 0.427 0.608 0.170  0.05
16 O 0.573 0.392 0.830  0.05
17 O 0.971 0.629 0.115  0.00
18 O 0.029 0.371 0.885  0.00
19 O 0.679 0.959 0.127  0.12
20 O 0.321 0.041 0.873  0.12
21 O 0.279 0.219 0.254  0.04
22 O 0.721 0.781 0.746  0.04

Run two
Entry from Alexandria: a relaxed structure of ZnCoP2O7 (PBEsol).

Results
Space-group type   No. 14
Density   4.15 g/cm3
Calculated volume   478 Å³/cell

a = 6.974 Å, b = 8.286 Å, c = 8.925 Å
α = 90.00°, β = 112.20°, γ = 90.00°
Last column: magnetic moment on the atom in μB.
Sites, in units of the cell vectors:
1 Zn 0.122 0.059 0.818  0.00
2 Zn 0.378 0.559 0.682  0.00
3 Zn 0.622 0.441 0.318  0.00
4 Zn 0.878 0.941 0.182  0.00
5 Co 0.374 0.931 0.605  2.62
6 Co 0.626 0.069 0.395  2.62
7 Co 0.126 0.431 0.895  2.62
8 Co 0.874 0.569 0.105  2.62
9 P 0.182 0.266 0.239  0.01
10 P 0.436 0.775 0.968  0.01
11 P 0.682 0.234 0.739  0.01
12 P 0.936 0.725 0.468  0.01
13 P 0.318 0.766 0.261  0.01
14 P 0.064 0.275 0.532  0.01
15 P 0.564 0.225 0.032  0.01
16 P 0.818 0.734 0.761  0.01
17 O 0.352 0.829 0.103  0.01
18 O 0.573 0.392 0.681  0.01
19 O 0.073 0.108 0.181  0.01
20 O 0.343 0.610 0.900  0.04
21 O 0.648 0.171 0.897  0.01
22 O 0.401 0.905 0.383  0.09
23 O 0.657 0.390 0.100  0.04
24 O 0.361 0.910 0.843  0.04
25 O 0.174 0.735 0.548  0.04
26 O 0.599 0.095 0.617  0.09
27 O 0.901 0.595 0.883  0.09
28 O 0.920 0.246 0.796  0.05
29 O 0.580 0.746 0.704  0.05
30 O 0.852 0.671 0.603  0.01
31 O 0.099 0.405 0.117  0.09
32 O 0.927 0.892 0.819  0.01
33 O 0.080 0.754 0.204  0.05
34 O 0.639 0.090 0.157  0.04
35 O 0.674 0.765 0.048  0.04
36 O 0.326 0.235 0.952  0.04
37 O 0.157 0.110 0.600  0.04
38 O 0.861 0.590 0.343  0.04
39 O 0.139 0.410 0.657  0.04
40 O 0.427 0.608 0.319  0.01
41 O 0.420 0.254 0.296  0.05
42 O 0.843 0.890 0.400  0.04
43 O 0.826 0.265 0.452  0.04
44 O 0.148 0.329 0.397  0.01

Quick look at relative energies in eV/atom: run one 0.016; run two 0.000.

Run one
Entry from Alexandria: a relaxed structure of CoSiO2 (PBEsol).

Results
Space-group type   No. 225
Density   5.53 g/cm3
Calculated volume   36 Å³/cell

a = 3.698 Å, b = 3.698 Å, c = 3.698 Å
α = 60.00°, β = 60.00°, γ = 60.00°
Last column: magnetic moment on the atom in μB.
Sites, in units of the cell vectors:
1 Si 0.000 0.000 0.000  -0.03
2 Co 0.500 0.500 0.500  1.80
3 O 0.250 0.250 0.250  0.11
4 O 0.750 0.750 0.750  0.11

Run two
Entry from Alexandria: a relaxed structure of CoSiO2 (PBEsol).

Results
Space-group type   No. 166
Density   4.98 g/cm3
Calculated volume   40 Å³/cell

a = 2.800 Å, b = 2.800 Å, c = 6.062 Å
α = 76.65°, β = 76.65°, γ = 60.00°
Last column: magnetic moment on the atom in μB.
Sites, in units of the cell vectors:
1 Si 0.000 0.000 0.000  0.02
2 Co 0.500 0.500 0.500  2.52
3 O 0.903 0.903 0.292  0.19
4 O 0.097 0.097 0.708  0.19

Quick look at relative energies in eV/atom: run one 0.765; run two 0.000.

Run one
Entry from Alexandria: a relaxed structure of SrSmCoO4 (PBEsol).

Results
Space-group type   No. 63
Density   7.15 g/cm3
Calculated volume   168 Å³/cell

a = 5.273 Å, b = 5.293 Å, c = 6.558 Å
α = 90.00°, β = 113.70°, γ = 90.00°
Last column: magnetic moment on the atom in μB.
Sites, in units of the cell vectors:
1 Sr 0.896 0.250 0.791  0.00
2 Sr 0.104 0.750 0.209  0.00
3 Sm 0.383 0.750 0.767  0.00
4 Sm 0.617 0.250 0.233  0.00
5 Co 0.252 0.250 0.503  0.82
6 Co 0.748 0.750 0.497  0.82
7 O 0.500 0.500 0.500  0.03
8 O 0.000 0.000 0.500  0.03
9 O 0.500 0.000 0.500  0.03
10 O 0.000 0.500 0.500  0.03
11 O 0.577 0.750 0.154  0.00
12 O 0.093 0.250 0.187  -0.01
13 O 0.423 0.250 0.846  0.00
14 O 0.907 0.750 0.813  -0.01

Run two
Entry from Alexandria: a relaxed structure of SrSmCoO4 (PBEsol).

Results
Space-group type   No. 107
Density   7.18 g/cm3
Calculated volume   83 Å³/cell

a = 3.720 Å, b = 3.720 Å, c = 6.581 Å
α = 106.42°, β = 106.42°, γ = 90.00°
Last column: magnetic moment on the atom in μB.
Sites, in units of the cell vectors:
1 Sr 0.358 0.358 0.715  0.00
2 Co 0.992 0.992 0.984  0.12
3 Sm 0.638 0.638 0.275  0.00
4 O 0.159 0.159 0.318  0.00
5 O 0.830 0.830 0.661  0.00
6 O 0.012 0.512 0.024  0.01
7 O 0.512 0.012 0.024  0.01

Quick look at relative energies in eV/atom: run one 0.025; run two 0.000.